This record from the Alexandria database describes a relaxed DyTmTlZn crystal. The functional is GGA-PBE.

Results
E_tot	-3.492	eV/atom
energy of formation	-121	kJ/mol of formula units
V	24.73	A^3/atom
distance to the lowest polymorph of the same formula	0.11	eV/f.u.

Lattice parameters (Å, degrees): 5.191 5.191 5.191 60.00 60.00 60.00
Element x y z (fractional)
Dy (0.000, 0.000, 0.000)
Tm (0.500, 0.500, 0.500)
Tl (0.250, 0.250, 0.250)
Zn (0.750, 0.750, 0.750)

---

This record from the Alexandria database describes a relaxed Zr2ScTa crystal. The functional is GGA-PBE.

Results
E_tot	-8.648	eV/atom
energy of formation	66	kJ/mol of formula units
V	21.53	A^3/atom

Lattice parameters (Å, degrees): 6.046 6.046 3.007 103.11 103.11 118.90
Element x y z (fractional)
Zr (0.000, 0.500, 0.000)
Zr (0.500, 0.000, 0.000)
Sc (0.000, 0.000, 0.500)
Ta (0.500, 0.500, 0.500)

---

This record from the Alexandria database describes a relaxed TeRu2Cl crystal. The functional is GGA-PBE.

Results
E_tot	-5.098	eV/atom
V	17.74	A^3/atom
distance to the lowest polymorph of the same formula	2.59	eV/f.u.

Lattice parameters (Å, degrees): 3.055 4.257 5.458 90.00 90.00 90.00
Element x y z (fractional)
Te (0.000, 0.000, 0.000)
Ru (0.000, 0.500, 0.500)
Ru (0.500, 0.500, 0.000)
Cl (0.500, 0.000, 0.500)

---

This record from the Alexandria database describes a relaxed TeOs2Se crystal. The functional is GGA-PBE.

Results
E_tot	-6.411	eV/atom
V	19.49	A^3/atom
distance to the lowest polymorph of the same formula	1.96	eV/f.u.

Lattice parameters (Å, degrees): 2.991 2.991 10.269 90.00 90.00 121.93
Element x y z (fractional)
Te (0.000, 0.000, 0.000)
Os (0.000, 0.000, 0.445)
Os (0.500, 0.500, 0.236)
Se (0.500, 0.500, 0.653)